Below is a relaxed NaTbSmHg crystal, with properties calculated at the GGA-PBE level.

Values from the calculation:
Crystal system ... cubic
Uncorrected energy ... -2.798 eV per atom
Magnetization ... 0.788 Bohr magnetons per cell
Energy of formation ... -56 meV/atom
Calculated density ... 7.926 g/cm³
DOS(E_F) ... 1.218 states/eV per atom

```
4
Lattice="0.000 3.822 3.822 3.822 0.000 3.822 3.822 3.822 0.000" Properties=species:S:1:pos:R:3 pbc="T T T"
Na 0.000 0.000 0.000
Tb 5.732 5.732 5.732
Sm 1.911 1.911 1.911
Hg 3.822 3.822 3.822
```

=====

Below is a relaxed NaTb2SmHg4 crystal, with properties calculated at the GGA-PBE level.

Values from the calculation:
Crystal system ... trigonal
Uncorrected energy ... -2.475 eV per atom
Magnetization ... 0.000 Bohr magnetons per cell
Energy of formation ... -412 meV/atom
Calculated density ... 10.366 g/cm³
DOS(E_F) ... 1.030 states/eV per atom

```
8
Lattice="2.624 1.515 8.688 -2.624 1.515 8.688 0.000 -3.030 8.688" Properties=species:S:1:pos:R:3 pbc="T T T"
Na 0.000 0.000 0.000
Tb 0.000 0.000 6.625
Tb 0.000 0.000 19.437
Sm 0.000 0.000 13.031
Hg 0.000 0.000 3.227
Hg 0.000 0.000 9.777
Hg 0.000 0.000 16.286
Hg 0.000 0.000 22.836
```

=====

Below is a relaxed NaSmTm2Hg4 crystal, with properties calculated at the GGA-PBE level.

Values from the calculation:
Crystal system ... trigonal
Uncorrected energy ... -2.419 eV per atom
Magnetization ... 0.000 Bohr magnetons per cell
Energy of formation ... -396 meV/atom
Calculated density ... 10.804 g/cm³
DOS(E_F) ... 0.878 states/eV per atom

```
8
Lattice="2.595 1.498 8.652 -2.595 1.498 8.652 0.000 -2.997 8.652" Properties=species:S:1:pos:R:3 pbc="T T T"
Na 0.000 0.000 0.000
Sm 0.000 0.000 12.978
Tm 0.000 0.000 6.601
Tm 0.000 0.000 19.354
Hg 0.000 0.000 3.165
Hg 0.000 0.000 9.728
Hg 0.000 0.000 16.228
Hg 0.000 0.000 22.791
```

=====

Below is a relaxed NaSmYHg crystal, with properties calculated at the GGA-PBE level.

Values from the calculation:
Crystal system ... cubic
Uncorrected energy ... -3.271 eV per atom
Magnetization ... 0.790 Bohr magnetons per cell
Energy of formation ... -70 meV/atom
Calculated density ... 6.901 g/cm³
DOS(E_F) ... 1.230 states/eV per atom

```
4
Lattice="0.000 3.819 3.819 3.819 0.000 3.819 3.819 3.819 0.000" Properties=species:S:1:pos:R:3 pbc="T T T"
Na 0.000 0.000 0.000
Sm 1.909 1.909 1.909
Y 5.728 5.728 5.728
Hg 3.819 3.819 3.819
```